# PBE Ac4Sb2P, relaxed
data_Ac4Sb2P
_chemical_formula_sum 'Ac4 Sb2 P1'
_cell_length_a 9.495
_cell_length_b 9.495
_cell_length_c 9.495
_cell_angle_alpha 145.27
_cell_angle_beta 145.27
_cell_angle_gamma 49.93
_space_group_name_H-M_alt 'P 1'
_space_group_IT_number 1
_space_group_name_Hall 'P 1'
loop_
_atom_site_label
_atom_site_type_symbol
_atom_site_fract_x
_atom_site_fract_y
_atom_site_fract_z
_atom_site_occupancy
Ac1 Ac 0.000 0.500 0.500 1
Ac2 Ac 0.173 0.173 0.000 1
Ac3 Ac 0.500 0.000 0.500 1
Ac4 Ac 0.827 0.827 0.000 1
Sb1 Sb 0.368 0.368 0.000 1
Sb2 Sb 0.632 0.632 0.000 1
P1 P 0.000 0.000 0.000 1
# Magnetization: 0.0 μB per formula unit
# Raw total energy: -5.102 eV/atom
# Formation energy without anion corrections: -804 meV/atom
# Space group: I4/mmm